Entry 1:
Al2NiCl: optimized geometry, PBE-GGA.

a b c (Å): 7.1272 6.5367 2.8014
angles (deg): 90.00 103.13 90.00
Last column: nearest neighbours and their distance in Å.
Space group C2/m (No. 12)
One atom of each set of equivalent atoms:
1 Al 0.2500 0.2500 0.0000  2 Ni 2.58, 2 Cl 2.58, 2 Al 2.80
2 Ni 0.0000 0.0000 0.5000  4 Al 2.58, 2 Ni 2.80
3 Cl 0.0000 0.5000 0.5000  4 Al 2.58, 2 Cl 2.80

- Relative energy among the computed polymorphs: 151 kJ/mol of formula units
- E_form (uncorrected): -0.0852 eV/atom
- Electronic total energy: -3.863 eV per atom
- Size of the total moment: 0.0 μB per formula unit
- N(E_F): 0.36 states/eV per atom

Entry 2:
Al3NiCl: optimized geometry, PBE-GGA.

a b c (Å): 4.7261 4.7261 4.7261
angles (deg): 90.00 90.00 90.00
Last column: nearest neighbours and their distance in Å.
Space group Pm-3m (No. 221)
One atom of each set of equivalent atoms:
1 Al 0.0000 0.0000 0.5000  2 Cl 2.36
2 Ni 0.5000 0.5000 0.5000  12 Al 3.34
3 Cl 0.0000 0.0000 0.0000  6 Al 2.36

- Relative energy among the computed polymorphs: 637 kJ/mol of formula units
- E_form (uncorrected): 0.9773 eV/atom
- Electronic total energy: -2.794 eV per atom
- Size of the total moment: 0.0 μB per formula unit
- N(E_F): 0.45 states/eV per atom

Entry 3:
RbAl2NiCl8: optimized geometry, PBE-GGA.

a b c (Å): 6.4128 6.4128 9.2769
angles (deg): 90.00 90.00 120.00
Last column: nearest neighbours and their distance in Å.
Space group P-3 (No. 147)
One atom of each set of equivalent atoms:
1 Rb 0.0000 0.0000 0.0000  12 Cl 3.72
2 Al 0.3333 0.6667 0.7321  4 Cl 2.16-2.17
3 Ni 0.0000 0.0000 0.5000  6 Cl 2.53
4 Cl 0.0266 0.3289 0.6633  1 Al 2.17
5 Cl 0.3333 0.6667 0.9652  1 Al 2.16

- E_form (uncorrected): -1.3587 eV/atom
- Electronic total energy: -3.776 eV per atom
- Size of the total moment: 1.0 μB per formula unit
- N(E_F): 0.59 states/eV per atom

Entry 4:
Rb2AlNiCl6: optimized geometry, PBE-GGA.

a b c (Å): 7.1138 7.1138 9.6065
angles (deg): 90.00 90.00 90.00
Last column: nearest neighbours and their distance in Å.
Space group I4/mmm (No. 139)
One atom of each set of equivalent atoms:
1 Rb 0.0000 0.5000 0.2500  12 Cl 3.48-3.56
2 Al 0.0000 0.0000 0.0000  6 Cl 2.35-2.47
3 Ni 0.0000 0.0000 0.5000  2 Cl 2.34
4 Cl 0.0000 0.0000 0.2568  1 Ni 2.34, 1 Al 2.47
5 Cl 0.2333 0.2333 0.0000  1 Al 2.35

- E_form (uncorrected): -1.3645 eV/atom
- Electronic total energy: -3.618 eV per atom
- Size of the total moment: 1.0 μB per formula unit
- N(E_F): 0.43 states/eV per atom

Entry 5:
AlNiS2Cl: optimized geometry, PBE-GGA.

a b c (Å): 4.5113 4.5113 4.5227
angles (deg): 90.00 90.00 90.00
Last column: nearest neighbours and their distance in Å.
Space group P4/mmm (No. 123)
One atom of each set of equivalent atoms:
1 Al 0.0000 0.0000 0.0000  4 Cl 3.19, 8 S 3.19
2 Ni 0.5000 0.5000 0.5000  4 S 2.26, 2 Cl 2.26
3 S 0.0000 0.5000 0.5000  2 Ni 2.26
4 Cl 0.5000 0.5000 0.0000  2 Ni 2.26

- Relative energy among the computed polymorphs: 0 kJ/mol of formula units
- E_form (uncorrected): 0.1293 eV/atom
- Electronic total energy: -3.796 eV per atom
- Size of the total moment: 0.0 μB per formula unit
- N(E_F): 0.61 states/eV per atom

Entry 6:
NpAl2Cl8: optimized geometry, PBE-GGA.

a b c (Å): 13.2147 8.7103 6.7142
angles (deg): 90.00 100.59 90.00
Last column: nearest neighbours and their distance in Å.
Space group C2/m (No. 12)
One atom of each set of equivalent atoms:
1 Np 0.0000 0.0000 0.0000  6 Cl 2.88-2.90
2 Al 0.1948 0.0000 0.6636  4 Cl 2.11-2.20
3 Cl 0.1116 0.1946 0.7639  1 Al 2.19
4 Cl 0.1460 0.5000 0.2142  1 Al 2.11
5 Cl 0.1733 0.0000 0.3304  1 Al 2.20

- E_form (uncorrected): -1.4359 eV/atom
- Electronic total energy: -4.636 eV per atom
- Size of the total moment: 5.0 μB per formula unit
- N(E_F): 0.78 states/eV per atom

Entry 7:
AlClO: optimized geometry, PBE-GGA.

a b c (Å): 7.0843 16.2185 2.9750
angles (deg): 90.00 90.00 90.00
Last column: nearest neighbours and their distance in Å.
Space group Cmmm (No. 65)
One atom of each set of equivalent atoms:
1 Al 0.0000 0.1668 0.0000  2 O 1.72
2 Cl 0.0000 0.2856 0.5000  2 Al 2.43
3 O 0.0000 0.1136 0.5000  2 Al 1.72

- E_form (uncorrected): -1.6853 eV/atom
- Electronic total energy: -5.201 eV per atom
- Size of the total moment: 0.0 μB per formula unit
- N(E_F): 0.00 states/eV per atom

Entry 8:
Al2ClO2: optimized geometry, PBE-GGA.

a b c (Å): 6.7990 6.7990 7.7534
angles (deg): 90.00 90.00 90.00
Last column: nearest neighbours and their distance in Å.
Space group I4_1md (No. 109)
One atom of each set of equivalent atoms:
1 Al 0.0000 0.3006 0.0000  3 O 1.81-1.87
2 Cl 0.0000 0.0000 0.1689  2 Al 2.43
3 O 0.0000 0.1842 0.7902  3 Al 1.81-1.87

- E_form (uncorrected): -1.8912 eV/atom
- Electronic total energy: -5.741 eV per atom
- Size of the total moment: 0.0 μB per formula unit
- N(E_F): 0.11 states/eV per atom

Entry 9:
AlClO: optimized geometry, PBE-GGA.

a b c (Å): 5.5055 5.7742 6.3182
angles (deg): 74.18 89.92 87.33
Last column: nearest neighbours and their distance in Å.
Space group P1 (No. 1)
One atom of each set of equivalent atoms:
1 Al 0.0000 0.0000 0.0000  3 O 1.72-1.92
2 Al 0.0212 0.0155 0.4237  3 O 1.87-1.90
3 Al 0.5284 0.2126 0.1428  3 O 1.70-1.89
4 Al 0.7339 0.5512 0.3552  2 O 1.77-1.81
5 Cl 0.1901 0.2305 0.6389  2 Al 2.30-2.56
6 Cl 0.4702 0.6166 0.0694  2 Al 2.26
7 Cl 0.4936 0.7023 0.5543  1 Al 2.14
8 Cl 0.9845 0.7375 0.7871  2 Al 2.29-2.43
9 O 0.2191 0.1184 0.1718  3 Al 1.81-1.90
10 O 0.7168 0.1460 0.9518  2 Al 1.70-1.72
11 O 0.7528 0.2358 0.3607  3 Al 1.81-1.89
12 O 0.9444 0.7819 0.2822  3 Al 1.77-1.92

- E_form (uncorrected): -2.1207 eV/atom
- Electronic total energy: -5.637 eV per atom
- Size of the total moment: 0.0 μB per formula unit
- N(E_F): 0.00 states/eV per atom

Entry 10:
AlClO: optimized geometry, PBE-GGA.

a b c (Å): 18.0551 3.2845 7.3385
angles (deg): 90.00 94.97 90.00
Last column: nearest neighbours and their distance in Å.
Space group C2/m (No. 12)
One atom of each set of equivalent atoms:
1 Al 0.2053 0.0000 0.3666  4 O 1.85-2.03
2 Al 0.2061 0.0000 0.8620  4 O 1.88-1.98, 1 Cl 2.09
3 Cl 0.0902 0.0000 0.8604  1 Al 2.09
4 Cl 0.1138 0.5000 0.3305  2 Al 2.33
5 O 0.2287 0.0000 0.6174  4 Al 1.85-2.03
6 O 0.2411 0.0000 0.1254  4 Al 1.90-1.98

- E_form (uncorrected): -2.3029 eV/atom
- Electronic total energy: -5.819 eV per atom
- Size of the total moment: 0.0 μB per formula unit
- N(E_F): 0.00 states/eV per atom

> Look up the E_form (uncorrected) of the fourth one.

-1.3645 eV/atom